No. 1
A relaxed Zr2BIr crystal, computed with PBE.

Computed properties:
Magnetization ... 0.41 μB per formula unit
Total DFT energy (no corrections) ... -31.69 eV per formula unit

a b c (Å): 6.3171 6.3171 6.3171
angles (deg): 90.00 90.00 90.00
With the nearest neighbours (Å) after each atom.
Space group F-43m (No. 216)
Symmetry-distinct sites (fractional):
Zr 0.0000 0.0000 0.0000 (multiplicity 4)  4 Zr 2.74, 4 Ir 2.74
Zr 0.2500 0.2500 0.2500 (multiplicity 4)  4 Zr 2.74, 4 B 2.74
B 0.0000 0.0000 0.5000 (multiplicity 4)  4 Ir 2.74, 4 Zr 2.74
Ir 0.2500 0.2500 0.7500 (multiplicity 4)  4 Zr 2.74, 4 B 2.74


No. 2
A relaxed Nd2BeO4 crystal, computed with PBE.

Computed properties:
Polymorph energy (0 for the lowest one) ... 0 meV per atom
Magnetization ... 0.00 μB per formula unit

a b c (Å): 3.8422 3.8422 12.2768
angles (deg): 90.00 90.00 90.00
With the nearest neighbours (Å) after each atom.
Space group I4/mmm (No. 139)
Symmetry-distinct sites (fractional):
Nd 0.0000 0.0000 0.1464 (multiplicity 4)  4 O 2.30
Be 0.0000 0.0000 0.5000 (multiplicity 2)  4 O 1.92
O 0.0000 0.5000 0.0000 (multiplicity 4)  2 Be 1.92
O 0.0000 0.5000 0.2500 (multiplicity 4)  4 Nd 2.30


No. 3
A relaxed PrNbN2O crystal, computed with PBE.

Computed properties:
Magnetization ... 0.00 μB per formula unit
Total DFT energy (no corrections) ... -44.35 eV per formula unit

a b c (Å): 5.7688 5.7688 14.2685
angles (deg): 90.00 90.00 120.00
With the nearest neighbours (Å) after each atom.
Space group P6_3/mmc (No. 194)
Symmetry-distinct sites (fractional):
Pr 0.0000 0.0000 0.2500 (multiplicity 2)  6 N 2.80, 6 O 2.88
Pr 0.3333 0.6667 0.1142 (multiplicity 4)  3 O 2.53
Nb 0.0000 0.0000 0.0000 (multiplicity 2)  6 N 2.05
Nb 0.3333 0.6667 0.6456 (multiplicity 4)  3 N 1.91
N 0.1603 0.3205 0.5894 (multiplicity 12)  2 Nb 1.91-2.05
O 0.0088 0.5044 0.2500 (multiplicity 6)  2 Nb 2.27, 2 Pr 2.53


No. 4
A relaxed Y2SbAsPt2 crystal, computed with PBE.

Computed properties:
Magnetization ... 0.00 μB per formula unit
Total DFT energy (no corrections) ... -40.82 eV per formula unit

a b c (Å): 11.2821 4.6128 11.2926
angles (deg): 90.00 109.47 90.00
With the nearest neighbours (Å) after each atom.
Space group Pm (No. 6)
Symmetry-distinct sites (fractional):
Y 0.0000 0.0000 0.0000 (multiplicity 1)  4 Pt 2.81-2.82
Y 0.1179 0.5000 0.3739 (multiplicity 1)  4 Pt 2.80-2.88
Y 0.2422 0.0000 0.7481 (multiplicity 1)  4 Pt 2.79-2.89
Y 0.3748 0.5000 0.1230 (multiplicity 1)  4 Pt 2.82-2.84
Y 0.5041 0.0000 0.4955 (multiplicity 1)  4 Pt 2.80-2.88
Y 0.6299 0.5000 0.8789 (multiplicity 1)  4 Pt 2.82-2.87
Y 0.7533 0.0000 0.2526 (multiplicity 1)  4 Pt 2.79-2.82
Y 0.8773 0.5000 0.6208 (multiplicity 1)  4 Pt 2.78-2.84
Sb 0.2497 0.0000 0.2497 (multiplicity 1)  4 Pt 2.81-2.83
Sb 0.3761 0.5000 0.6244 (multiplicity 1)  4 Pt 2.81-2.83
Sb 0.5008 0.0000 0.9992 (multiplicity 1)  4 Pt 2.82-2.85
Sb 0.7512 0.0000 0.7494 (multiplicity 1)  4 Pt 2.83-2.84
As 0.1229 0.5000 0.8741 (multiplicity 1)  4 Pt 2.76-2.83
As 0.6265 0.5000 0.3728 (multiplicity 1)  4 Pt 2.77-2.86
As 0.8748 0.5000 0.1255 (multiplicity 1)  4 Pt 2.80-2.87
As 0.9976 0.0000 0.4980 (multiplicity 1)  4 Pt 2.76-2.84
Pt 0.1247 0.5000 0.6239 (multiplicity 1)  4 Y 2.78-2.80, 3 As 2.83-2.84, 1 Sb 2.83
Pt 0.2488 0.0000 0.9989 (multiplicity 1)  4 Y 2.81-2.82, 2 As 2.83, 2 Sb 2.83-2.84
Pt 0.3730 0.5000 0.3737 (multiplicity 1)  3 Sb 2.81-2.82, 4 Y 2.84-2.88, 1 As 2.86
Pt 0.4988 0.0000 0.7486 (multiplicity 1)  4 Sb 2.81-2.84, 4 Y 2.87-2.89
Pt 0.6276 0.5000 0.1283 (multiplicity 1)  2 As 2.77-2.80, 4 Y 2.82-2.83, 2 Sb 2.85
Pt 0.7534 0.0000 0.4994 (multiplicity 1)  3 As 2.76-2.84, 4 Y 2.79-2.81, 1 Sb 2.83
Pt 0.8782 0.5000 0.8728 (multiplicity 1)  2 As 2.76-2.87, 4 Y 2.82-2.84, 2 Sb 2.83
Pt 0.9989 0.0000 0.2482 (multiplicity 1)  4 Y 2.79-2.81, 3 As 2.81-2.83, 1 Sb 2.82


No. 5
A relaxed BeCdPt2 crystal, computed with PBE.

Computed properties:
Magnetization ... 0.00 μB per formula unit
Total DFT energy (no corrections) ... -17.03 eV per formula unit

a b c (Å): 6.2671 6.2671 6.2671
angles (deg): 90.00 90.00 90.00
With the nearest neighbours (Å) after each atom.
Space group F-43m (No. 216)
Symmetry-distinct sites (fractional):
Be 0.0000 0.0000 0.0000 (multiplicity 4)  4 Cd 2.71, 4 Pt 2.71
Cd 0.2500 0.2500 0.2500 (multiplicity 4)  4 Be 2.71, 4 Pt 2.71
Pt 0.0000 0.0000 0.5000 (multiplicity 4)  4 Cd 2.71, 4 Pt 2.71
Pt 0.2500 0.2500 0.7500 (multiplicity 4)  4 Be 2.71, 4 Pt 2.71


No. 6
A relaxed PrPuCu crystal, computed with PBE.

Computed properties:
Polymorph energy (0 for the lowest one) ... 0 meV per atom
Magnetization ... 5.68 μB per formula unit
Formation energy ... 604 meV per atom

a b c (Å): 6.5716 6.5716 6.5716
angles (deg): 90.00 90.00 90.00
With the nearest neighbours (Å) after each atom.
Space group F-43m (No. 216)
Symmetry-distinct sites (fractional):
Pr 0.0000 0.0000 0.0000 (multiplicity 4)  4 Pu 2.85
Pu 0.2500 0.2500 0.7500 (multiplicity 4)  4 Pr 2.85, 4 Cu 2.85
Cu 0.0000 0.0000 0.5000 (multiplicity 4)  4 Pu 2.85


No. 7
A relaxed Tm2Zr2O5 crystal, computed with PBE.

Computed properties:
Polymorph energy (0 for the lowest one) ... 0 meV per atom
Magnetization ... 0.00 μB per formula unit

a b c (Å): 3.5965 3.5965 9.8276
angles (deg): 90.00 90.00 90.00
With the nearest neighbours (Å) after each atom.
Space group P4/mmm (No. 123)
Symmetry-distinct sites (fractional):
Tm 0.0000 0.0000 0.2489 (multiplicity 2)  4 O 2.14
Zr 0.5000 0.5000 0.0000 (multiplicity 1)  8 O 2.21
Zr 0.5000 0.5000 0.5000 (multiplicity 1)  4 O 2.54
O 0.0000 0.0000 0.5000 (multiplicity 1)  2 Tm 2.47, 4 Zr 2.54
O 0.0000 0.5000 0.1304 (multiplicity 4)  2 Tm 2.14, 2 Zr 2.21


No. 8
A relaxed BaTmSe2O6 crystal, computed with PBE.

Computed properties:
Magnetization ... 0.70 μB per formula unit
Total DFT energy (no corrections) ... -60.13 eV per formula unit

a b c (Å): 7.7199 5.4657 16.5328
angles (deg): 90.00 93.06 90.00
With the nearest neighbours (Å) after each atom.
Space group C2/c (No. 15)
Symmetry-distinct sites (fractional):
Ba 0.0000 0.0194 0.2500 (multiplicity 4)  6 O 2.70-2.76
Tm 0.0000 0.0000 0.0000 (multiplicity 4)  4 O 2.17-2.20
Se 0.1392 0.4887 0.3972 (multiplicity 8)  3 O 1.70-1.76
O 0.0343 0.2247 0.8941 (multiplicity 8)  1 Se 1.76
O 0.0403 0.2982 0.0884 (multiplicity 8)  1 Se 1.76
O 0.1763 0.4393 0.2980 (multiplicity 8)  1 Se 1.70


No. 9
A relaxed In2Hg2O5 crystal, computed with PBE.

Computed properties:
Polymorph energy (0 for the lowest one) ... 0 meV per atom

a b c (Å): 4.0052 4.0052 8.3948
angles (deg): 90.00 90.00 90.00
With the nearest neighbours (Å) after each atom.
Space group P4/mmm (No. 123)
Symmetry-distinct sites (fractional):
In 0.0000 0.0000 0.2483 (multiplicity 2)  5 O 2.10-2.11
Hg 0.5000 0.5000 0.0000 (multiplicity 1)  8 O 2.47
Hg 0.5000 0.5000 0.5000 (multiplicity 1)  4 O 2.83
O 0.0000 0.0000 0.5000 (multiplicity 1)  2 In 2.11
O 0.0000 0.5000 0.1727 (multiplicity 4)  2 In 2.10


No. 10
A relaxed NaErNiSe3 crystal, computed with PBE.

Computed properties:
Polymorph energy (0 for the lowest one) ... 0 meV per atom
Magnetization ... 1.18 μB per formula unit

a b c (Å): 8.0341 3.9301 9.5554
angles (deg): 90.00 105.99 90.00
With the nearest neighbours (Å) after each atom.
Space group P2_1/m (No. 11)
Symmetry-distinct sites (fractional):
Na 0.2344 0.2500 0.2690 (multiplicity 2)  6 Se 2.94-3.28
Er 0.3108 0.7500 0.8573 (multiplicity 2)  6 Se 2.79-2.93
Ni 0.0798 0.2500 0.5900 (multiplicity 2)  4 Se 2.37-2.41
Se 0.0577 0.2500 0.8368 (multiplicity 2)  1 Ni 2.41
Se 0.2175 0.7500 0.5390 (multiplicity 2)  3 Ni 2.37
Se 0.4413 0.7500 0.1602 (multiplicity 2)  3 Er 2.79-2.84, 2 Na 2.94


No. 11
A relaxed Li4ZnCdGe2 crystal, computed with PBE.

Computed properties:
Total DFT energy (no corrections) ... -21.50 eV per formula unit

a b c (Å): 4.4541 4.4541 6.3118
angles (deg): 90.00 90.00 90.00
With the nearest neighbours (Å) after each atom.
Space group P-4m2 (No. 115)
Symmetry-distinct sites (fractional):
Li 0.0000 0.0000 0.0000 (multiplicity 1)  4 Ge 2.67, 4 Li 2.68
Li 0.0000 0.5000 0.2364 (multiplicity 2)  4 Li 2.68-2.78, 2 Zn 2.68, 2 Cd 2.78, 1 Ge 2.96
Li 0.5000 0.5000 0.5000 (multiplicity 1)  4 Li 2.78, 4 Ge 2.79
Zn 0.5000 0.5000 0.0000 (multiplicity 1)  4 Ge 2.67, 4 Li 2.68
Cd 0.0000 0.0000 0.5000 (multiplicity 1)  4 Li 2.78, 4 Ge 2.79
Ge 0.0000 0.5000 0.7668 (multiplicity 2)  5 Li 2.67-2.96, 2 Zn 2.67, 2 Cd 2.79


No. 12
A relaxed LaSm2Co4Si4 crystal, computed with PBE.

Computed properties:
Magnetization ... 0.01 μB per formula unit
Total DFT energy (no corrections) ... -71.73 eV per formula unit

a b c (Å): 4.0266 4.0308 23.4106
angles (deg): 90.00 90.00 90.00
With the nearest neighbours (Å) after each atom.
Space group Immm (No. 71)
Symmetry-distinct sites (fractional):
La 0.0000 0.0000 0.0000 (multiplicity 2)  4 Co 3.10, 8 Si 3.10
Sm 0.0000 0.5000 0.3512 (multiplicity 4)  6 Si 3.02-3.09, 8 Co 3.06-3.12
Co 0.0000 0.0000 0.2494 (multiplicity 4)  4 Si 2.32-2.33
Co 0.0000 0.5000 0.1008 (multiplicity 4)  3 Si 2.31-2.33
Si 0.0000 0.0000 0.4473 (multiplicity 4)  2 Co 2.31, 1 Si 2.47
Si 0.0000 0.5000 0.2002 (multiplicity 4)  5 Co 2.32-2.33